VCoS3 after structural relaxation. Source: the Alexandria database, functional GGA-PBE.

a b c (Å): 11.8955 4.0582 7.2923
angles (deg): 90.00 122.36 90.00
Closest atoms and distances in Å follow each position.
Space group C2/m (No. 12)
One atom of each set of equivalent atoms:
1 V 0.1622 0.0000 0.4238 (multiplicity 4)  7 S 2.36-2.64
2 Co 0.1722 0.5000 0.9476 (multiplicity 4)  5 S 2.18-2.41
3 S 0.0984 0.0000 0.8481 (multiplicity 4)  3 Co 2.18-2.31
4 S 0.1449 0.5000 0.2241 (multiplicity 4)  1 Co 2.21, 3 V 2.36-2.44
5 S 0.1454 0.5000 0.5962 (multiplicity 4)  3 V 2.37-2.45, 1 Co 2.41

## Properties
Total moment (μB/f.u.): 0.00
Energy above the most stable polymorph in this dataset (eV/f.u.): 1.068
Formation energy (no corrections) (meV per atom): -445.1
N(E_F) (states/eV per cell): 13.85
Mass density (g/cm3): 4.60

TlRe2BOs after structural relaxation. Source: the Alexandria database, functional GGA-PBE.

a b c (Å): 4.2194 4.2194 4.2154
angles (deg): 90.00 90.00 90.00
Closest atoms and distances in Å follow each position.
Space group P4/mmm (No. 123)
One atom of each set of equivalent atoms:
1 Tl 0.0000 0.0000 0.0000 (multiplicity 1)  8 Re 2.98, 4 Os 2.98
2 Re 0.0000 0.5000 0.5000 (multiplicity 2)  2 B 2.11
3 B 0.5000 0.5000 0.5000 (multiplicity 1)  2 Os 2.11, 4 Re 2.11
4 Os 0.5000 0.5000 0.0000 (multiplicity 1)  2 B 2.11

## Properties
Total moment (μB/f.u.): 0.69
Energy above the most stable polymorph in this dataset (eV/f.u.): 0.000
N(E_F) (states/eV per cell): 6.44
DFT formation energy (eV/atom): 0.71
Mass density (g/cm3): 17.21

AsP5 after structural relaxation. Source: the Alexandria database, functional GGA-PBE.

a b c (Å): 11.2671 3.3671 8.4903
angles (deg): 90.00 124.24 90.00
Closest atoms and distances in Å follow each position.
Space group Cm (No. 8)
One atom of each set of equivalent atoms:
1 As 0.0000 0.0000 0.0000 (multiplicity 2)  3 P 2.35-2.42
2 P 0.0276 0.0000 0.5011 (multiplicity 2)  3 P 2.25-2.26
3 P 0.0944 0.5000 0.7107 (multiplicity 2)  3 P 2.24-2.25
4 P 0.2563 0.0000 0.1484 (multiplicity 2)  2 P 2.27, 1 As 2.42
5 P 0.2863 0.5000 0.3477 (multiplicity 2)  3 P 2.26-2.27
6 P 0.4236 0.0000 0.7685 (multiplicity 2)  1 P 2.24, 2 As 2.35

## Properties
Total moment (μB/f.u.): 0.00
Energy above the most stable polymorph in this dataset (eV/f.u.): 0.000
DFT formation energy (eV/atom): 0.06
Mass density (g/cm3): 2.87

K4YNp3Se8 after structural relaxation. Source: the Alexandria database, functional GGA-PBE.

a b c (Å): 8.5224 8.5224 22.9926
angles (deg): 90.00 90.00 120.00
Closest atoms and distances in Å follow each position.
Space group R-3m (No. 166, hexagonal axes)
One atom of each set of equivalent atoms:
1 K 0.0000 0.0000 0.0000 (multiplicity 3)  6 Se 3.35
2 K 0.0000 0.5000 0.0000 (multiplicity 9)  6 Se 3.33-3.35
3 Y 0.0000 0.0000 0.5000 (multiplicity 3)  6 Se 2.91
4 Np 0.0000 0.5000 0.5000 (multiplicity 9)  6 Se 2.92-2.93
5 Se 0.0000 0.0000 0.2347 (multiplicity 6)  3 Np 2.92
6 Se 0.0025 0.5012 0.2354 (multiplicity 18)  1 Y 2.91, 2 Np 2.93

## Properties
Total moment (μB/f.u.): 12.00
Formation energy (no corrections) (meV per atom): -1382.6
N(E_F) (states/eV per cell): 77.01
Mass density (g/cm3): 5.47